Record 1
VASP calculation (SCAN) on a crystal of SrBe2GaP relaxed with PBEsol.

a b c (Å): 5.1026 5.1026 5.5205
angles (deg): 90.00 90.00 90.00
With the nearest neighbours (Å) after each atom.
Fractional coordinates of all 5 atoms:
Sr 0.0000 0.0000 0.0000  4 Be 2.55, 2 Ga 2.76
Be 0.0000 0.5000 0.0000  2 Sr 2.55
Be 0.5000 0.0000 0.0000  2 Sr 2.55
Ga 0.0000 0.0000 0.5000  2 Sr 2.76
P 0.5000 0.5000 0.5000  4 Ga 3.61, 8 Be 3.76

Calculated values
Formation energy, kJ/mol of atoms: 210.3
Magnetization, μB per atom: 0.00

Record 2
VASP calculation (SCAN) on a crystal of Zr2BeGaP relaxed with PBEsol.

a b c (Å): 4.9764 4.9764 3.8543
angles (deg): 90.00 90.00 90.00
With the nearest neighbours (Å) after each atom.
Fractional coordinates of all 5 atoms:
Zr 0.0000 0.5000 0.0000  2 Ga 2.49
Zr 0.5000 0.0000 0.0000  2 Ga 2.49
Be 0.0000 0.0000 0.5000  2 Ga 1.93
Ga 0.0000 0.0000 0.0000  2 Be 1.93
P 0.5000 0.5000 0.5000  8 Zr 3.15, 4 Be 3.52

Calculated values
Formation energy, kJ/mol of atoms: 23.7
Magnetization, μB per atom: 0.00